Computed, not measured: CsFeN2F after structural relaxation at the PBE+U level of DFT.

Output
The value obtained for the volume is 96.4 Å³/cell. The calculation puts the density of states at the Fermi level at 4.5 states/eV/f.u. The calculation puts the total energy at -3.042 eV/atom.

Cell lengths 4.4032, 4.4032, 4.9745 Å; angles 90.00, 90.00, 90.00 degrees
Closest atoms and distances in Å follow each position.
Space group P4/mmm (No. 123)
Symmetry-distinct sites (fractional):
Cs 0.0000 0.0000 0.0000 [1 per cell]  4 N 2.20
Fe 0.5000 0.5000 0.5000 [1 per cell]  4 F 3.11, 8 N 3.32
N 0.0000 0.5000 0.0000 [2 per cell]  2 Cs 2.20
F 0.0000 0.0000 0.5000 [1 per cell]  2 Cs 2.49